A plane-wave DFT calculation with GGA-PBE was carried out for Mg2GeHPd after structural relaxation.

**Crystal system**: tetragonal
**Total energy**: -0.1311 hartree per atom

Cell and atoms, written as CIF:
```
data_Mg2GeHPd
_chemical_formula_sum 'Mg2 Ge1 H1 Pd1'
_cell_length_a 4.647
_cell_length_b 4.647
_cell_length_c 3.471
_cell_angle_alpha 90.00
_cell_angle_beta 90.00
_cell_angle_gamma 90.00
_space_group_name_H-M_alt 'P 4/m m m'
_space_group_IT_number 123
_space_group_name_Hall '-P 4 2'
loop_
_atom_site_label
_atom_site_type_symbol
_atom_site_fract_x
_atom_site_fract_y
_atom_site_fract_z
Mg1 Mg 0.000 0.500 0.000
Ge1 Ge 0.000 0.000 0.500
H1 H 0.500 0.500 0.000
Pd1 Pd 0.500 0.500 0.500
```